A relaxed structure of YTi2O5, computed with GGA-PBE.

Properties
Total magnetic moment in Bohr magnetons per cell: 0.14
Calculated total energy in eV/atom: -9.0163
D(E_F) in states/eV/atom: 0.311
Raw formation energy in eV per atom: -3.1357

Cell lengths 3.5396, 4.9600, 11.9412 Å; angles 90.00, 90.00, 90.00 degrees
Atoms (fractional coordinates):
O (0.5000, 0.5867, 0.1700)
O (0.0000, 0.4133, 0.6700)
O (0.0000, 0.0772, 0.1129)
O (0.0000, 0.5767, 0.0000)
O (0.5000, 0.9228, 0.6129)
O (0.0000, 0.0772, 0.8871)
O (0.0000, 0.4133, 0.3300)
Y (0.0000, 0.1222, 0.5000)
O (0.5000, 0.4233, 0.5000)
O (0.5000, 0.5867, 0.8300)
Ti (0.0000, 0.4218, 0.8448)
Ti (0.0000, 0.4218, 0.1552)
O (0.5000, 0.9228, 0.3871)
Y (0.5000, 0.8778, 0.0000)
Ti (0.5000, 0.5782, 0.6552)
Ti (0.5000, 0.5782, 0.3448)